Entry 1:
An optimized crystal structure of BeIn2Br4, computed with PBE.

Structure (POSCAR):
```
BeIn2Br4
1.0
3.3254 -6.0713 0.0000
3.3254 6.0713 0.0000
-3.2842 0.0000 5.6585
Be In Br
1 2 4
direct
0.0000 0.0000 0.0000 Be
0.0937 0.4829 0.5442 In
0.4829 0.0937 0.5442 In
0.0486 0.3437 0.0111 Br
0.3437 0.0486 0.0111 Br
0.6495 0.6495 0.6766 Br
0.9455 0.9455 0.3067 Br
```

Output
The density of states at the Fermi level comes out at 0.0 states/eV/cell. The calculation puts the uncorrected formation energy at -538 kJ/mol of formula units. The space group is No. 8.


Entry 2:
An optimized crystal structure of BeInBr2, computed with PBE.

Structure (POSCAR):
```
BeInBr2
1.0
0.0000 3.7224 3.7224
3.7224 0.0000 3.7224
3.7224 3.7224 0.0000
Be In Br
1 1 2
direct
0.0000 0.0000 0.0000 Be
0.7500 0.7500 0.7500 In
0.2500 0.2500 0.2500 Br
0.5000 0.5000 0.5000 Br
```

Output
The density of states at the Fermi level comes out at 3.0 states/eV/cell. The calculation puts the uncorrected formation energy at 181 kJ/mol of formula units. The energy relative to the lowest polymorph listed for this composition is 884 meV/atom. The space group is No. 216.